A relaxed DyEr2Cd8 crystal, computed with GGA-PBE.

a b c (Å): 5.3293 6.2917 8.9467
angles (deg): 111.31 108.17 87.73
With the nearest neighbours (Å) after each atom.
Fractional coordinates of all 11 atoms:
1 Cd 0.1468 0.3625 0.2612  5 Cd 2.92-3.15, 2 Er 3.22-3.26
2 Cd 0.8857 0.1013 0.7388  5 Cd 2.92-3.15, 2 Er 3.22-3.26
3 Cd 0.7482 0.4794 0.0000  4 Cd 2.65-2.92
4 Cd 0.7008 0.2008 0.4016  6 Cd 3.12-3.35, 4 Er 3.15-3.19, 1 Dy 3.17
5 Cd 0.2992 0.7992 0.5984  6 Cd 3.12-3.35, 4 Er 3.15-3.19, 1 Dy 3.17
6 Cd 0.2517 0.5206 0.0000  4 Cd 2.65-2.92
7 Cd 0.1143 0.8987 0.2612  5 Cd 2.92-3.15, 2 Er 3.22-3.26
8 Cd 0.8532 0.6375 0.7388  5 Cd 2.92-3.15, 2 Er 3.22-3.26
9 Er 0.6879 0.6879 0.3759  12 Cd 3.15-3.30
10 Er 0.3121 0.3121 0.6241  12 Cd 3.15-3.30
11 Dy 0.5000 0.0000 0.0000  6 Cd 3.17-3.48

A relaxed Mg3IrN crystal, computed with GGA-PBE.

Output
formation energy from raw total energies: -322 meV/atom

a b c (Å): 4.1822 4.1822 4.1822
angles (deg): 90.00 90.00 90.00
With the nearest neighbours (Å) after each atom.
Fractional coordinates of all 5 atoms:
1 Mg 0.0000 0.5000 0.0000  2 N 2.09
2 Mg 0.0000 0.0000 0.5000  2 N 2.09
3 Mg 0.5000 0.0000 0.0000  2 N 2.09
4 Ir 0.5000 0.5000 0.5000  12 Mg 2.96
5 N 0.0000 0.0000 0.0000  6 Mg 2.09

A relaxed CaTa2Cd crystal, computed with GGA-PBE.

a b c (Å): 6.2736 6.2736 5.0370
angles (deg): 67.19 67.19 28.36
With the nearest neighbours (Å) after each atom.
Fractional coordinates of all 4 atoms:
1 Ca 0.7500 0.7500 0.7500  4 Cd 2.95, 2 Ca 3.07
2 Cd 0.2500 0.2500 0.2500  4 Ca 2.95, 4 Ta 2.97, 2 Cd 3.07
3 Ta 0.9782 0.9782 0.0208  2 Cd 2.97, 6 Ta 2.99-3.07
4 Ta 0.5218 0.5218 0.4792  2 Cd 2.97, 6 Ta 2.99-3.07

A relaxed Tb9Pr2Er crystal, computed with GGA-PBE.

a b c (Å): 5.0653 5.0653 15.1917
angles (deg): 90.00 90.00 90.00
With the nearest neighbours (Å) after each atom.
Fractional coordinates of all 12 atoms:
1 Tb 0.5000 0.5000 0.0000  8 Tb 3.55, 4 Er 3.58
2 Tb 0.5000 0.5000 0.3316  4 Pr 3.58, 8 Tb 3.59-3.60
3 Tb 0.5000 0.5000 0.6684  4 Pr 3.58, 8 Tb 3.59-3.60
4 Tb 0.5000 0.0000 0.1637  8 Tb 3.55-3.59, 2 Er 3.55, 2 Pr 3.60
5 Tb 0.5000 0.0000 0.5000  8 Tb 3.58-3.60, 4 Pr 3.59
6 Tb 0.5000 0.0000 0.8363  8 Tb 3.55-3.59, 2 Er 3.55, 2 Pr 3.60
7 Tb 0.0000 0.5000 0.1637  2 Er 3.55, 8 Tb 3.55-3.59, 2 Pr 3.60
8 Tb 0.0000 0.5000 0.5000  8 Tb 3.58-3.60, 4 Pr 3.59
9 Tb 0.0000 0.5000 0.8363  2 Er 3.55, 8 Tb 3.55-3.59, 2 Pr 3.60
10 Pr 0.0000 0.0000 0.3322  12 Tb 3.58-3.60
11 Pr 0.0000 0.0000 0.6678  12 Tb 3.58-3.60
12 Er 0.0000 0.0000 0.0000  12 Tb 3.55-3.58

A relaxed CaPr2Ga crystal, computed with GGA-PBE.

a b c (Å): 5.5205 5.5205 5.5205
angles (deg): 60.00 60.00 60.00
With the nearest neighbours (Å) after each atom.
Fractional coordinates of all 4 atoms:
1 Pr 0.2500 0.2500 0.2500  4 Ca 3.38, 4 Ga 3.38
2 Pr 0.7500 0.7500 0.7500  4 Ga 3.38, 4 Ca 3.38
3 Ca 0.0000 0.0000 0.0000  8 Pr 3.38
4 Ga 0.5000 0.5000 0.5000  8 Pr 3.38

A relaxed Na3NpPa2Se6 crystal, computed with GGA-PBE.

Output
formation energy from raw total energies: -1253 meV/atom

a b c (Å): 4.1049 8.6053 9.5219
angles (deg): 106.45 102.45 90.00
With the nearest neighbours (Å) after each atom.
Fractional coordinates of all 12 atoms:
1 Na 0.5000 0.5000 0.0000  6 Se 3.02
2 Na 0.8352 0.1649 0.6703  6 Se 3.03-3.04
3 Na 0.1648 0.8351 0.3297  6 Se 3.03-3.04
4 Np 0.5000 0.0000 0.0000  6 Se 2.93-2.94
5 Pa 0.8332 0.6658 0.6664  6 Se 2.88-2.92
6 Pa 0.1668 0.3342 0.3336  6 Se 2.88-2.92
7 Se 0.3347 0.9060 0.6693  2 Pa 2.91, 1 Np 2.94, 3 Na 3.03-3.04
8 Se 0.6693 0.5777 0.3386  3 Pa 2.92, 3 Na 3.02-3.04
9 Se 0.6653 0.0940 0.3307  2 Pa 2.91, 1 Np 2.94, 3 Na 3.03-3.04
10 Se 0.0049 0.2451 0.0098  1 Pa 2.88, 2 Np 2.93, 3 Na 3.02-3.03
11 Se 0.9951 0.7549 0.9902  1 Pa 2.88, 2 Np 2.93, 3 Na 3.02-3.03
12 Se 0.3307 0.4223 0.6614  3 Pa 2.92, 3 Na 3.02-3.04

A relaxed NaCu2SbS4 crystal, computed with GGA-PBE.

Output
formation energy from raw total energies: -387 meV/atom

a b c (Å): 5.8397 5.8397 6.6514
angles (deg): 116.03 116.03 90.02
With the nearest neighbours (Å) after each atom.
Fractional coordinates of all 8 atoms:
1 Na 0.0003 0.0003 0.0006  4 S 2.71
2 Cu 0.7500 0.2500 0.5000  4 S 2.34
3 Cu 0.2500 0.7500 0.5000  4 S 2.34
4 Sb 0.4999 0.4999 0.9999  4 S 2.43
5 S 0.5827 0.5827 0.7080  2 Cu 2.34, 1 Sb 2.43
6 S 0.4175 0.8745 0.2920  2 Cu 2.34, 1 Sb 2.43
7 S 0.8745 0.4175 0.2920  2 Cu 2.34, 1 Sb 2.43
8 S 0.1253 0.1253 0.7080  2 Cu 2.34, 1 Sb 2.43

A relaxed LiMg2Pb crystal, computed with GGA-PBE.

a b c (Å): 5.4865 5.4865 5.2759
angles (deg): 80.58 80.58 36.40
With the nearest neighbours (Å) after each atom.
Fractional coordinates of all 4 atoms:
1 Pb 0.2500 0.2500 0.2500  6 Mg 3.14-3.22, 4 Li 3.15, 2 Pb 3.43
2 Mg 0.0003 0.0003 0.9925  6 Mg 3.08-3.43, 3 Li 3.10-3.19, 3 Pb 3.14-3.22
3 Mg 0.4997 0.4997 0.5075  6 Mg 3.08-3.43, 3 Li 3.10-3.19, 3 Pb 3.14-3.22
4 Li 0.7500 0.7500 0.7500  6 Mg 3.10-3.19, 4 Pb 3.15, 2 Li 3.43

A relaxed Re5W crystal, computed with GGA-PBE.

a b c (Å): 5.3271 5.3271 6.6381
angles (deg): 75.18 75.18 30.14
With the nearest neighbours (Å) after each atom.
Fractional coordinates of all 6 atoms:
1 Re 0.0045 0.0045 0.9997  3 W 2.74-2.82, 9 Re 2.77-2.83
2 Re 0.6091 0.6091 0.2836  10 Re 2.71-2.80, 2 W 2.81
3 Re 0.3351 0.3351 0.3348  11 Re 2.74-2.80, 1 W 2.79
4 Re 0.9438 0.9438 0.6074  10 Re 2.74-2.83, 2 W 2.80
5 Re 0.6631 0.6631 0.6616  10 Re 2.71-2.81, 2 W 2.84
6 W 0.2777 0.2777 0.9463  10 Re 2.74-2.84, 2 W 2.77

A relaxed PbS2BrCl crystal, computed with GGA-PBE.

Output
formation energy from raw total energies: 441 meV/atom

a b c (Å): 5.5115 5.5115 5.4553
angles (deg): 90.00 90.00 90.00
With the nearest neighbours (Å) after each atom.
Fractional coordinates of all 5 atoms:
1 Pb 0.0000 0.0000 0.0000  2 Cl 2.73, 4 S 2.76
2 S 0.0000 0.5000 0.0000  2 Pb 2.76
3 S 0.5000 0.0000 0.0000  2 Pb 2.76
4 Br 0.5000 0.5000 0.5000  8 S 3.88, 4 Cl 3.90
5 Cl 0.0000 0.0000 0.5000  2 Pb 2.73

A relaxed SrH8Au2 crystal, computed with GGA-PBE.

a b c (Å): 3.7500 9.5811 7.8961
angles (deg): 118.23 89.77 141.56
With the nearest neighbours (Å) after each atom.
Fractional coordinates of all 11 atoms:
1 Sr 0.5000 0.0000 0.0000  8 H 2.55-2.57
2 H 0.8528 0.4259 0.1758  1 Au 1.67, 1 H 1.82
3 H 0.1384 0.0694 0.8230  1 Au 1.67, 1 H 1.82
4 H 0.4190 0.4353 0.9354  1 H 0.76
5 H 0.0039 0.2522 0.5008  2 Au 1.87-1.88
6 H 0.9961 0.7478 0.4992  2 Au 1.87-1.88
7 H 0.5810 0.5647 0.0646  1 H 0.76
8 H 0.8616 0.9306 0.1770  1 Au 1.67, 1 H 1.82
9 H 0.1472 0.5741 0.8242  1 Au 1.67, 1 H 1.82
10 Au 0.4931 0.7464 0.4994  2 H 1.67
11 Au 0.5069 0.2536 0.5006  2 H 1.67

A relaxed LaHf crystal, computed with GGA-PBE.

a b c (Å): 5.5288 5.5288 6.0000
angles (deg): 90.00 90.00 120.00
With the nearest neighbours (Å) after each atom.
Fractional coordinates of all 4 atoms:
1 La 0.3333 0.6667 0.2500  5 Hf 3.00-3.19
2 La 0.6667 0.3333 0.7500  5 Hf 3.00-3.19
3 Hf 0.3333 0.6667 0.7500  5 La 3.00-3.19
4 Hf 0.6667 0.3333 0.2500  5 La 3.00-3.19

A relaxed Tb2YNpP4 crystal, computed with GGA-PBE.

a b c (Å): 3.9974 6.9295 6.9324
angles (deg): 109.32 90.00 90.00
With the nearest neighbours (Å) after each atom.
Fractional coordinates of all 8 atoms:
1 Tb 0.5000 0.0000 0.5000  6 P 2.86-2.87
2 Tb 0.0000 0.5000 0.5000  6 P 2.83
3 Y 0.0000 0.0000 0.0000  6 P 2.82-2.83
4 Np 0.5000 0.5000 0.0000  6 P 2.78-2.80
5 P 0.5000 0.2533 0.2458  1 Np 2.78, 2 Y 2.83, 3 Tb 2.83-2.87
6 P 0.5000 0.7467 0.7542  1 Np 2.78, 2 Y 2.83, 3 Tb 2.83-2.87
7 P 0.0000 0.2550 0.7554  2 Np 2.80, 1 Y 2.82, 3 Tb 2.83-2.86
8 P 0.0000 0.7450 0.2446  2 Np 2.80, 1 Y 2.82, 3 Tb 2.83-2.86

A relaxed LiCu6OF11 crystal, computed with GGA-PBE.

Output
formation energy from raw total energies: -1514 meV/atom

a b c (Å): 4.9541 5.5648 8.0895
angles (deg): 83.21 87.73 87.79
With the nearest neighbours (Å) after each atom.
Fractional coordinates of all 19 atoms:
1 Li 0.4977 0.4773 0.5358  3 F 1.88-1.97, 1 O 2.03
2 Cu 0.0182 0.9989 0.0055  6 F 1.98-2.09
3 Cu 0.5257 0.4928 0.9860  1 O 1.96, 5 F 2.00-2.19
4 Cu 0.9852 0.3689 0.6965  1 O 1.91, 3 F 1.96-2.12
5 Cu 0.5382 0.8658 0.6901  1 O 1.91, 4 F 2.02-2.07
6 Cu 0.4890 0.1302 0.3197  5 F 1.96-2.12
7 Cu 0.9895 0.6386 0.3202  5 F 1.97-2.15
8 O 0.6577 0.5390 0.7536  3 Cu 1.91-1.96, 1 Li 2.03
9 F 0.1966 0.3041 0.9214  3 Cu 1.98-2.12
10 F 0.8420 0.0455 0.7782  3 Cu 1.99-2.05
11 F 0.3277 0.8115 0.9153  3 Cu 1.99-2.06
12 F 0.3261 0.1652 0.5968  1 Li 1.97, 2 Cu 2.02-2.18
13 F 0.1476 0.6291 0.5440  1 Li 1.90, 2 Cu 1.96-1.99
14 F 0.7825 0.3445 0.4107  1 Li 1.88, 1 Cu 2.01
15 F 0.6414 0.8351 0.4428  2 Cu 1.96-2.07, 1 Li 2.18
16 F 0.3336 0.4443 0.2260  3 Cu 1.96-2.15
17 F 0.7021 0.1841 0.0875  3 Cu 1.98-2.11
18 F 0.1825 0.9477 0.2412  3 Cu 2.02-2.09
19 F 0.8308 0.6900 0.0989  3 Cu 1.97-2.19

A relaxed Pm4PSe2Br crystal, computed with GGA-PBE.

Output
formation energy from raw total energies: -1633 meV/atom

a b c (Å): 4.1758 7.2182 7.3810
angles (deg): 70.94 90.00 90.00
With the nearest neighbours (Å) after each atom.
Fractional coordinates of all 8 atoms:
1 Pm 0.0000 0.7581 0.7180  1 P 2.83, 3 Se 2.86-3.12, 2 Br 3.10
2 Pm 0.0000 0.2419 0.2820  1 P 2.83, 3 Se 2.86-3.12, 2 Br 3.10
3 Pm 0.5000 0.7389 0.2786  2 P 2.86, 3 Se 2.87-3.10, 1 Br 3.09
4 Pm 0.5000 0.2611 0.7214  2 P 2.86, 3 Se 2.87-3.10, 1 Br 3.09
5 P 0.0000 0.5000 0.5000  6 Pm 2.83-2.86
6 Se 0.0000 0.0000 0.0000  6 Pm 3.10-3.12
7 Se 0.5000 0.0000 0.5000  6 Pm 2.86-2.87
8 Br 0.5000 0.5000 0.0000  6 Pm 3.09-3.10

A relaxed Ca2VCr2 crystal, computed with GGA-PBE.

a b c (Å): 8.7133 8.7133 3.3163
angles (deg): 90.00 90.00 90.00
With the nearest neighbours (Å) after each atom.
Fractional coordinates of all 10 atoms:
1 Cr 0.1576 0.6576 0.5000  6 Ca 2.97-3.10, 2 Cr 3.32
2 Cr 0.6576 0.8424 0.5000  6 Ca 2.97-3.10, 2 Cr 3.32
3 Cr 0.8424 0.3424 0.5000  6 Ca 2.97-3.10, 2 Cr 3.32
4 Cr 0.3424 0.1576 0.5000  6 Ca 2.97-3.10, 2 Cr 3.32
5 Ca 0.3575 0.8575 0.0000  6 Cr 2.97-3.10, 2 Ca 3.32
6 Ca 0.8575 0.6425 0.0000  6 Cr 2.97-3.10, 2 Ca 3.32
7 Ca 0.6425 0.1425 0.0000  6 Cr 2.97-3.10, 2 Ca 3.32
8 Ca 0.1425 0.3575 0.0000  6 Cr 2.97-3.10, 2 Ca 3.32
9 V 0.0000 0.0000 0.0000  2 V 3.32, 4 Ca 3.35, 8 Cr 3.68
10 V 0.5000 0.5000 0.0000  2 V 3.32, 4 Ca 3.35, 8 Cr 3.68

A relaxed TaIn2Pd2 crystal, computed with GGA-PBE.

a b c (Å): 7.7438 7.7438 3.0503
angles (deg): 90.00 90.00 90.00
With the nearest neighbours (Å) after each atom.
Fractional coordinates of all 10 atoms:
1 In 0.1662 0.6662 0.5000  6 Pd 2.68-2.78
2 In 0.6662 0.8338 0.5000  6 Pd 2.68-2.78
3 In 0.8338 0.3338 0.5000  6 Pd 2.68-2.78
4 In 0.3338 0.1662 0.5000  6 Pd 2.68-2.78
5 Pd 0.3675 0.8675 0.0000  6 In 2.68-2.78, 1 Pd 2.90
6 Pd 0.8675 0.6325 0.0000  6 In 2.68-2.78, 1 Pd 2.90
7 Pd 0.6325 0.1325 0.0000  6 In 2.68-2.78, 1 Pd 2.90
8 Pd 0.1325 0.3675 0.0000  6 In 2.68-2.78, 1 Pd 2.90
9 Ta 0.0000 0.0000 0.0000  4 Pd 3.02, 2 Ta 3.05, 8 In 3.27
10 Ta 0.5000 0.5000 0.0000  4 Pd 3.02, 2 Ta 3.05, 8 In 3.27

A relaxed ScTaSe2 crystal, computed with GGA-PBE.

Output
formation energy from raw total energies: -901 meV/atom

a b c (Å): 3.5114 3.5114 6.5700
angles (deg): 90.00 90.00 90.00
With the nearest neighbours (Å) after each atom.
Fractional coordinates of all 4 atoms:
1 Sc 0.5000 0.5000 0.7679  5 Se 2.66-2.90
2 Se 0.0000 0.0000 0.9123  4 Sc 2.66, 1 Ta 2.75
3 Se 0.5000 0.5000 0.3268  4 Ta 2.71, 1 Sc 2.90
4 Ta 0.0000 0.0000 0.4930  5 Se 2.71-2.75

A relaxed NaSmSn2Te4 crystal, computed with GGA-PBE.

Output
formation energy from raw total energies: -753 meV/atom

a b c (Å): 4.5128 7.9200 7.7963
angles (deg): 71.29 90.00 90.00
With the nearest neighbours (Å) after each atom.
Fractional coordinates of all 8 atoms:
1 Na 0.5000 0.5000 0.0000  6 Te 3.22-3.24
2 Sm 0.0000 0.5000 0.5000  6 Te 3.14-3.18
3 Sn 0.0000 0.0000 0.0000  6 Te 3.25
4 Sn 0.5000 0.0000 0.5000  6 Te 3.17-3.19
5 Te 0.0000 0.7500 0.7416  1 Sm 3.14, 3 Sn 3.19-3.25, 2 Na 3.24
6 Te 0.0000 0.2500 0.2584  1 Sm 3.14, 3 Sn 3.19-3.25, 2 Na 3.24
7 Te 0.5000 0.7466 0.2571  3 Sn 3.17-3.25, 2 Sm 3.18, 1 Na 3.22
8 Te 0.5000 0.2534 0.7429  3 Sn 3.17-3.25, 2 Sm 3.18, 1 Na 3.22

A relaxed RbNbSbI2 crystal, computed with GGA-PBE.

Output
formation energy from raw total energies: -294 meV/atom

a b c (Å): 5.9148 5.9148 5.3925
angles (deg): 90.00 90.00 90.00
With the nearest neighbours (Å) after each atom.
Fractional coordinates of all 5 atoms:
1 I 0.0000 0.5000 0.0000  2 Nb 2.96
2 I 0.5000 0.0000 0.0000  2 Nb 2.96
3 Sb 0.0000 0.0000 0.5000  2 Nb 2.70
4 Nb 0.0000 0.0000 0.0000  2 Sb 2.70, 4 I 2.96
5 Rb 0.5000 0.5000 0.5000  8 I 4.00, 4 Sb 4.18

| no. | total magnetic moment (μB/f.u.) | E_tot (eV/atom) |
| --- | --- | --- |
| 1 | 0.0 | -2.132 |
| 2 | 0.0 | -4.716 |
| 3 | 0.0 | -6.203 |
| 4 | 0.0 | -4.628 |
| 5 | 0.0 | -3.789 |
| 6 | 8.0 | -5.986 |
| 7 | 0.0 | -4.155 |
| 8 | 0.0 | -2.311 |
| 9 | 0.0 | -12.449 |
| 10 | 3.1 | -2.656 |
| 11 | 0.0 | -3.287 |
| 12 | 0.0 | -5.806 |
| 13 | 3.6 | -7.712 |
| 14 | 6.1 | -4.253 |
| 15 | 0.0 | -5.765 |
| 16 | 12.0 | -5.245 |
| 17 | 0.0 | -5.650 |
| 18 | 0.0 | -7.189 |
| 19 | 0.0 | -4.080 |
| 20 | 0.9 | -3.946 |